No. 1
# CdPbCl2 | the Alexandria database | PBE | relaxed
data_CdPbCl2
_cell_length_a 3.6441
_cell_length_b 3.6441
_cell_length_c 8.4379
_cell_angle_alpha 90.00
_cell_angle_beta 90.00
_cell_angle_gamma 91.57
_space_group_name_H-M_alt 'P 1'
_space_group_IT_number 1
loop_
_space_group_symop_operation_xyz
'x,y,z'
loop_
_atom_site_label
_atom_site_fract_x
_atom_site_fract_y
_atom_site_fract_z
Pb1 0.0000 0.0000 0.4957
Cd1 0.5000 0.5000 0.7746
Cl1 0.5000 0.5000 0.3020
Cl2 0.0000 0.0000 0.9276
# - Spin magnetization: 0.00 μB per atom
# - Calculated volume: 28.003 Å³/atom
# - Space group: Cmm2, No. 35
# - Raw formation energy: -57.1 kJ/mol of atoms
# - Energy above the most stable polymorph in this dataset: 108.1 meV per atom


No. 2
# TmTiPd2 | the Alexandria database | PBE | relaxed
data_TmTiPd2
_cell_length_a 3.2193
_cell_length_b 4.7684
_cell_length_c 4.7684
_cell_angle_alpha 90.00
_cell_angle_beta 90.00
_cell_angle_gamma 90.00
_space_group_name_H-M_alt 'P 1'
_space_group_IT_number 1
loop_
_space_group_symop_operation_xyz
'x,y,z'
loop_
_atom_site_label
_atom_site_fract_x
_atom_site_fract_y
_atom_site_fract_z
Pd1 0.0000 0.0000 0.5000
Pd2 0.0000 0.5000 0.0000
Tm1 0.5000 0.5000 0.5000
Ti1 0.5000 0.0000 0.0000
# - Calculated formation energy: -631 meV per atom
# - Spin magnetization: 0.21 μB per atom
# - Calculated volume: 18.300 Å³/atom
# - Space group: P4/mmm, No. 123
# - Energy above the most stable polymorph in this dataset: 38.0 meV per atom


No. 3
# Pr5Ho2Sb4 | the Alexandria database | PBE | relaxed
data_Pr5Ho2Sb4
_cell_length_a 4.5669
_cell_length_b 4.5964
_cell_length_c 17.7647
_cell_angle_alpha 67.18
_cell_angle_beta 97.39
_cell_angle_gamma 90.00
_space_group_name_H-M_alt 'P 1'
_space_group_IT_number 1
loop_
_space_group_symop_operation_xyz
'x,y,z'
loop_
_atom_site_label
_atom_site_fract_x
_atom_site_fract_y
_atom_site_fract_z
Sb1 0.3120 0.5629 0.6240
Sb2 0.0455 0.3641 0.0910
Sb3 0.6880 0.4371 0.3760
Sb4 0.9545 0.6359 0.9090
Pr1 0.8872 0.3376 0.7743
Pr2 0.7892 0.1318 0.5783
Pr3 0.2108 0.8682 0.4217
Pr4 0.1128 0.6624 0.2257
Pr5 0.5000 0.0000 0.0000
Ho1 0.3873 0.8376 0.7745
Ho2 0.6127 0.1624 0.2255
# - Spin magnetization: 0.00 μB per atom
# - Calculated volume: 30.942 Å³/atom
# - Space group: C2/m, No. 12
# - Raw formation energy: -72.6 kJ/mol of atoms


No. 4
# TcMoAs2Br | the Alexandria database | PBE | relaxed
data_TcMoAs2Br
_cell_length_a 4.7201
_cell_length_b 4.7201
_cell_length_c 5.4250
_cell_angle_alpha 90.00
_cell_angle_beta 90.00
_cell_angle_gamma 90.00
_space_group_name_H-M_alt 'P 1'
_space_group_IT_number 1
loop_
_space_group_symop_operation_xyz
'x,y,z'
loop_
_atom_site_label
_atom_site_fract_x
_atom_site_fract_y
_atom_site_fract_z
Tc1 0.0000 0.0000 0.0000
As1 0.5000 0.0000 0.0000
As2 0.0000 0.5000 0.0000
Br1 0.0000 0.0000 0.5000
Mo1 0.5000 0.5000 0.5000
# - Spin magnetization: 0.88 μB per atom
# - Calculated volume: 24.173 Å³/atom
# - Space group: P4/mmm, No. 123
# - Raw formation energy: 97.1 kJ/mol of atoms
# - Energy above the most stable polymorph in this dataset: 0.0 meV per atom


No. 5
# Er2AsO | the Alexandria database | PBE | relaxed
data_Er2AsO
_cell_length_a 3.9547
_cell_length_b 3.9545
_cell_length_c 7.3115
_cell_angle_alpha 74.04
_cell_angle_beta 74.06
_cell_angle_gamma 59.99
_space_group_name_H-M_alt 'P 1'
_space_group_IT_number 1
loop_
_space_group_symop_operation_xyz
'x,y,z'
loop_
_atom_site_label
_atom_site_fract_x
_atom_site_fract_y
_atom_site_fract_z
As1 0.7270 0.1716 0.7127
Er1 0.6002 0.0455 0.1004
Er2 0.1312 0.5760 0.5031
O1 0.2461 0.6914 0.1622
# - Spin magnetization: 0.15 μB per atom
# - Calculated volume: 23.475 Å³/atom
# - Space group: Cm, No. 8
# - Raw formation energy: -168.4 kJ/mol of atoms
# - Energy above the most stable polymorph in this dataset: 89.7 meV per atom


No. 6
# Sm4NiPt3 | the Alexandria database | PBE | relaxed
data_Sm4NiPt3
_cell_length_a 3.8646
_cell_length_b 4.4862
_cell_length_c 10.6776
_cell_angle_alpha 90.00
_cell_angle_beta 90.00
_cell_angle_gamma 90.00
_space_group_name_H-M_alt 'P 1'
_space_group_IT_number 1
loop_
_space_group_symop_operation_xyz
'x,y,z'
loop_
_atom_site_label
_atom_site_fract_x
_atom_site_fract_y
_atom_site_fract_z
Sm1 0.0000 0.0000 0.1367
Sm2 0.0000 0.5000 0.8650
Sm3 0.5000 0.5000 0.3583
Sm4 0.5000 0.0000 0.6392
Ni1 0.5000 0.5000 0.0783
Pt1 0.5000 0.0000 0.9229
Pt2 0.0000 0.0000 0.4112
Pt3 0.0000 0.5000 0.5885
# - Calculated formation energy: -991 meV per atom
# - Spin magnetization: 0.00 μB per atom
# - Calculated volume: 23.140 Å³/atom
# - Space group: Pmm2, No. 25


No. 7
# EuPuRu2 | the Alexandria database | PBE | relaxed
data_EuPuRu2
_cell_length_a 4.8168
_cell_length_b 4.8168
_cell_length_c 4.8168
_cell_angle_alpha 60.00
_cell_angle_beta 60.00
_cell_angle_gamma 60.00
_space_group_name_H-M_alt 'P 1'
_space_group_IT_number 1
loop_
_space_group_symop_operation_xyz
'x,y,z'
loop_
_atom_site_label
_atom_site_fract_x
_atom_site_fract_y
_atom_site_fract_z
Ru1 0.2500 0.2500 0.2500
Ru2 0.7500 0.7500 0.7500
Eu1 0.0000 0.0000 0.0000
Pu1 0.5000 0.5000 0.5000
# - Calculated formation energy: 83 meV per atom
# - Spin magnetization: 0.70 μB per atom
# - Calculated volume: 19.756 Å³/atom
# - Space group: Fm-3m, No. 225
# - Energy above the most stable polymorph in this dataset: 129.8 meV per atom


No. 8
# ScCl2 | the Alexandria database | PBE | relaxed
data_ScCl2
_cell_length_a 7.1293
_cell_length_b 7.1293
_cell_length_c 7.1293
_cell_angle_alpha 153.90
_cell_angle_beta 153.90
_cell_angle_gamma 37.25
_space_group_name_H-M_alt 'P 1'
_space_group_IT_number 1
loop_
_space_group_symop_operation_xyz
'x,y,z'
loop_
_atom_site_label
_atom_site_fract_x
_atom_site_fract_y
_atom_site_fract_z
Sc1 0.0000 0.0000 0.0000
Cl1 0.3874 0.3874 0.0000
Cl2 0.6126 0.6126 0.0000
# - Spin magnetization: 0.00 μB per atom
# - Calculated volume: 23.352 Å³/atom
# - Space group: I4/mmm, No. 139
# - Raw formation energy: -167.7 kJ/mol of atoms